Below is a relaxed structure of AcDy2Ga, with properties calculated at the GGA-PBE level.

Cell: 3.7291 3.7291 31.1185 Å, 90.00 90.00 120.00°
Space group R-3m (No. 166, hexagonal axes)
Asymmetric unit:
Ac  0.0000  0.0000  0.0000 [3 per cell]
Dy  0.0000  0.0000  0.2345 [6 per cell]
Ga  0.0000  0.0000  0.5000 [3 per cell]

Values from the calculation:
Fermi-level density of states in states/eV per cell: 13.09
Final energy in eV/cell: -51.02
M_tot in μB per cell: 0.00
Offset from the most stable computed form in meV/atom: 79
ΔE_f in eV per atom: -0.167